! LiTmTl, optimized geometry, DFT PBE-GGA; values from VASP
! Total DFT energy (no corrections): -2.6098 eV per atom
! V: 86.1 Å³ per cell
! Distance to the lowest polymorph of the same formula: 299 meV per atom
&SYSTEM
  ibrav = 0, nat = 3, ntyp = 3
/
ATOMIC_SPECIES
Li 6.94 Li.upf
Tm 168.93 Tm.upf
Tl 204.38 Tl.upf
CELL_PARAMETERS angstrom
0.000 3.504 3.504
3.504 0.000 3.504
3.504 3.504 0.000
ATOMIC_POSITIONS angstrom
Li 0.000 0.000 0.000
Tm 1.752 1.752 1.752
Tl 3.504 3.504 3.504

! LiTlW, optimized geometry, DFT PBE-GGA; values from VASP
! Total DFT energy (no corrections): -4.3970 eV per atom
! V: 55.6 Å³ per cell
&SYSTEM
  ibrav = 0, nat = 3, ntyp = 3
/
ATOMIC_SPECIES
Li 6.94 Li.upf
Tl 204.38 Tl.upf
W 183.84 W.upf
CELL_PARAMETERS angstrom
0.000 3.029 3.029
3.029 0.000 3.029
3.029 3.029 0.000
ATOMIC_POSITIONS angstrom
Li 0.000 0.000 0.000
Tl 4.544 4.544 4.544
W 1.515 1.515 1.515

! LiTlZn2, optimized geometry, DFT PBE-GGA; values from VASP
! Total DFT energy (no corrections): -1.7216 eV per atom
! V: 70.9 Å³ per cell
&SYSTEM
  ibrav = 0, nat = 4, ntyp = 3
/
ATOMIC_SPECIES
Li 6.94 Li.upf
Tl 204.38 Tl.upf
Zn 65.41 Zn.upf
CELL_PARAMETERS angstrom
0.000 3.285 3.285
3.285 0.000 3.285
3.285 3.285 0.000
ATOMIC_POSITIONS angstrom
Li 0.000 0.000 0.000
Tl 4.927 4.927 4.927
Zn 1.642 1.642 1.642
Zn 3.285 3.285 3.285

! LiZrTl, optimized geometry, DFT PBE-GGA; values from VASP
! Total DFT energy (no corrections): -3.7425 eV per atom
! V: 75.4 Å³ per cell
! Distance to the lowest polymorph of the same formula: 306 meV per atom
&SYSTEM
  ibrav = 0, nat = 3, ntyp = 3
/
ATOMIC_SPECIES
Li 6.94 Li.upf
Zr 91.22 Zr.upf
Tl 204.38 Tl.upf
CELL_PARAMETERS angstrom
0.000 3.354 3.354
3.354 0.000 3.354
3.354 3.354 0.000
ATOMIC_POSITIONS angstrom
Li 0.000 0.000 0.000
Zr 1.677 1.677 1.677
Tl 3.354 3.354 3.354

! LiZrTl, optimized geometry, DFT PBE-GGA; values from VASP
! Total DFT energy (no corrections): -4.0486 eV per atom
! V: 62.3 Å³ per cell
! Distance to the lowest polymorph of the same formula: 0 meV per atom
&SYSTEM
  ibrav = 0, nat = 3, ntyp = 3
/
ATOMIC_SPECIES
Li 6.94 Li.upf
Zr 91.22 Zr.upf
Tl 204.38 Tl.upf
CELL_PARAMETERS angstrom
0.000 3.147 3.147
3.147 0.000 3.147
3.147 3.147 0.000
ATOMIC_POSITIONS angstrom
Li 0.000 0.000 0.000
Zr 1.573 1.573 1.573
Tl 4.720 4.720 4.720

! Li2Tm, optimized geometry, DFT PBE-GGA; values from VASP
! Total DFT energy (no corrections): -2.5978 eV per atom
! V: 129.5 Å³ per cell
! Distance to the lowest polymorph of the same formula: 35 meV per atom
&SYSTEM
  ibrav = 0, nat = 6, ntyp = 2
/
ATOMIC_SPECIES
Li 6.94 Li.upf
Tm 168.93 Tm.upf
CELL_PARAMETERS angstrom
1.765 -7.463 0.000
1.765 7.463 0.000
0.000 0.000 4.917
ATOMIC_POSITIONS angstrom
Li 1.765 5.927 3.688
Li 1.765 3.595 1.229
Li 1.765 -3.595 3.688
Li 1.765 -5.927 1.229
Tm 1.765 1.126 3.688
Tm 1.765 -1.126 1.229

! LiTm5, optimized geometry, DFT PBE-GGA; values from VASP
! Total DFT energy (no corrections): -3.5448 eV per atom
! V: 202.3 Å³ per cell
&SYSTEM
  ibrav = 0, nat = 6, ntyp = 2
/
ATOMIC_SPECIES
Li 6.94 Li.upf
Tm 168.93 Tm.upf
CELL_PARAMETERS angstrom
6.416 0.000 0.000
-3.208 5.556 0.000
0.000 0.000 5.674
ATOMIC_POSITIONS angstrom
Li 0.000 0.000 0.000
Tm -1.604 2.778 2.837
Tm 0.000 3.704 0.000
Tm 3.208 0.000 2.837
Tm 1.604 2.778 2.837
Tm 3.208 1.852 0.000

! Li2Tm3, optimized geometry, DFT PBE-GGA; values from VASP
! Total DFT energy (no corrections): -3.2654 eV per atom
! V: 508.0 Å³ per cell
&SYSTEM
  ibrav = 0, nat = 20, ntyp = 2
/
ATOMIC_SPECIES
Li 6.94 Li.upf
Tm 168.93 Tm.upf
CELL_PARAMETERS angstrom
8.434 0.000 0.000
0.000 8.434 0.000
0.000 0.000 7.141
ATOMIC_POSITIONS angstrom
Li 0.966 0.966 1.271
Li 0.966 0.966 5.870
Li 3.251 5.183 2.300
Li 3.251 5.183 4.841
Li 5.183 3.251 2.300
Li 5.183 3.251 4.841
Li 7.468 7.468 1.271
Li 7.468 7.468 5.870
Tm 0.000 4.217 1.785
Tm 0.000 4.217 5.356
Tm 1.281 7.153 3.571
Tm 1.832 6.602 0.000
Tm 2.385 2.385 3.571
Tm 2.936 2.936 0.000
Tm 4.217 0.000 1.785
Tm 4.217 0.000 5.356
Tm 5.498 5.498 0.000
Tm 6.049 6.049 3.571
Tm 6.602 1.832 0.000
Tm 7.153 1.281 3.571